Computed, not measured: a relaxed structure of BP2CCl at the PBE-GGA level of DFT.

- size of the total moment (μB per cell) = 0.00
- energy above the lowest structure with this stoichiometry (eV per formula unit) = 1.26
- uncorrected energy (eV/atom) = -3.738
- formation energy without anion corrections (eV/f.u.) = 9.9

Unit cell a=4.151 b=4.151 c=4.003 alpha=90.00 beta=90.00 gamma=90.00
Sites, in units of the cell vectors:
P: 0.500 0.000 0.000
B: 0.000 0.000 0.000
C: 0.500 0.500 0.500
Cl: 0.000 0.000 0.500
P: 0.000 0.500 0.000